Computed, not measured: Sm6ZnRh5 after structural relaxation at the PBE-GGA level of DFT.

Calculated values
For the density of states at the Fermi level, the calculation gives 0.577 states/eV/atom. The space-group type is No. 71. As for the energy: -6.19 eV/atom. The calculation puts the total magnetic moment at 0.0 μB/f.u. The crystal system is orthorhombic.

Geometry as extended XYZ:
```
12
Lattice="-2.477 3.540 7.473 2.477 -3.540 7.473 2.477 3.540 -7.473" Properties=species:S:1:pos:R:3 pbc="T T T"
Sm 2.477 1.743 -2.532
Sm 0.000 1.709 0.000
Sm 2.477 1.743 2.532
Sm 0.000 1.796 4.940
Sm 0.000 5.371 0.000
Sm 0.000 1.796 10.005
Zn 0.000 0.000 7.473
Rh 2.477 0.000 0.000
Rh 0.000 0.000 2.510
Rh 2.477 0.000 5.019
Rh 0.000 3.540 2.453
Rh 0.000 0.000 12.435
```